Compound: HfFeCuSb
Source: OQMD via LeMat-Bulk
Functional: GGA-PBE
Structure: optimized geometry

```
data_HfFeCuSb
_space_group_name_H-M_alt 'F -4 3 m'
_space_group_IT_number 216
_space_group_name_Hall 'F -4 2 3'
_cell_length_a 6.496
_cell_length_b 6.496
_cell_length_c 6.496
_cell_angle_alpha 90.00
_cell_angle_beta 90.00
_cell_angle_gamma 90.00
loop_
_atom_site_label
_atom_site_type_symbol
_atom_site_fract_x
_atom_site_fract_y
_atom_site_fract_z
Hf1 Hf 0.000 0.000 0.000
Fe1 Fe 0.250 0.250 0.750
Cu1 Cu 0.000 0.000 0.500
Sb1 Sb 0.250 0.250 0.250
```

Summary:
Crystal system = cubic
V = 17.1 Å³ per atom
Distance to the lowest polymorph of the same formula = 268.1 meV/atom

Compound: HfFeCuSb
Source: OQMD via LeMat-Bulk
Functional: GGA-PBE
Structure: optimized geometry

```
data_HfFeCuSb
_space_group_name_H-M_alt 'F -4 3 m'
_space_group_IT_number 216
_space_group_name_Hall 'F -4 2 3'
_cell_length_a 6.458
_cell_length_b 6.458
_cell_length_c 6.458
_cell_angle_alpha 90.00
_cell_angle_beta 90.00
_cell_angle_gamma 90.00
loop_
_atom_site_label
_atom_site_type_symbol
_atom_site_fract_x
_atom_site_fract_y
_atom_site_fract_z
Hf1 Hf 0.000 0.000 0.000
Fe1 Fe 0.000 0.000 0.500
Cu1 Cu 0.250 0.250 0.750
Sb1 Sb 0.250 0.250 0.250
```

Summary:
Crystal system = cubic
V = 16.8 Å³ per atom
Distance to the lowest polymorph of the same formula = 216.4 meV/atom

Compound: HfFeCuSb
Source: OQMD via LeMat-Bulk
Functional: GGA-PBE
Structure: optimized geometry

```
data_HfFeCuSb
_space_group_name_H-M_alt 'F -4 3 m'
_space_group_IT_number 216
_space_group_name_Hall 'F -4 2 3'
_cell_length_a 6.289
_cell_length_b 6.289
_cell_length_c 6.289
_cell_angle_alpha 90.00
_cell_angle_beta 90.00
_cell_angle_gamma 90.00
loop_
_atom_site_label
_atom_site_type_symbol
_atom_site_fract_x
_atom_site_fract_y
_atom_site_fract_z
Hf1 Hf 0.000 0.000 0.000
Fe1 Fe 0.250 0.250 0.250
Cu1 Cu 0.250 0.250 0.750
Sb1 Sb 0.000 0.000 0.500
```

Summary:
Crystal system = cubic
V = 15.5 Å³ per atom
Distance to the lowest polymorph of the same formula = 0.0 meV/atom